Material: Hf2HgW
Method: DFT, PBE-GGA
State: optimized geometry

## Properties
Space group: F-43m (216)
Raw total energy, eV per formula unit: -31.5
Size of the total moment, Bohr magnetons per cell: 0.008
ρ, Mg/m³: 15.94
Formation energy, eV/atom: 0.410

Lattice parameters (Å, degrees): 4.7803 4.7803 4.7803 60.00 60.00 60.00
Closest atoms and distances in Å follow each position.
Fractional coordinates of all 4 atoms:
Hf 0.7500 0.7500 0.7500  4 Hf 2.93, 4 W 2.93
Hf 0.0000 0.0000 0.0000  4 Hg 2.93, 4 Hf 2.93
W 0.5000 0.5000 0.5000  4 Hg 2.93, 4 Hf 2.93
Hg 0.2500 0.2500 0.2500  4 W 2.93, 4 Hf 2.93

***

Material: HfHgW2
Method: DFT, PBE-GGA
State: optimized geometry

## Properties
Space group: F-43m (216)
Raw total energy, eV per formula unit: -34.6
Size of the total moment, Bohr magnetons per cell: 0.000
ρ, Mg/m³: 17.10
Formation energy, eV/atom: 0.394

Lattice parameters (Å, degrees): 4.6806 4.6806 4.6806 60.00 60.00 60.00
Closest atoms and distances in Å follow each position.
Fractional coordinates of all 4 atoms:
Hf 0.5000 0.5000 0.5000  4 W 2.87, 4 Hg 2.87
Hg 0.2500 0.2500 0.2500  4 Hf 2.87, 4 W 2.87
W 0.7500 0.7500 0.7500  4 W 2.87, 4 Hf 2.87
W 0.0000 0.0000 0.0000  4 W 2.87, 4 Hg 2.87

***

Material: Y2Hf3Hg2
Method: DFT, PBE-GGA
State: optimized geometry

## Properties
Space group: R3m (160)
Raw total energy, eV per formula unit: -44.4
Size of the total moment, Bohr magnetons per cell: 0.023
ρ, Mg/m³: 10.92
Formation energy, eV/atom: -0.138

Lattice parameters (Å, degrees): 8.1476 8.1476 8.1476 36.29 36.29 36.29
Closest atoms and distances in Å follow each position.
Fractional coordinates of all 7 atoms:
Hf 0.6104 0.6104 0.6104  6 Hf 2.94-3.22, 1 Hg 3.01
Hf 0.9318 0.9318 0.9318  1 Hg 2.87, 3 Hf 2.94
Hf 0.3359 0.3359 0.3359  1 Y 3.15, 4 Hg 3.19-3.25, 6 Hf 3.22-3.34
Hg 0.0577 0.0577 0.0577  4 Hf 2.87-3.19, 4 Y 3.06-3.19
Hg 0.4783 0.4783 0.4783  2 Hf 3.01-3.25, 6 Y 3.13-3.17
Y 0.7632 0.7632 0.7632  6 Hg 3.06-3.13
Y 0.1977 0.1977 0.1977  7 Hf 3.15-3.44, 4 Hg 3.17-3.19

***

Material: Y2Hf2Hg
Method: DFT, PBE-GGA
State: optimized geometry

## Properties
Space group: I4/mmm (139)
Raw total energy, eV per formula unit: -30.9
Size of the total moment, Bohr magnetons per cell: 0.016
ρ, Mg/m³: 9.55
Formation energy, eV/atom: 0.439

Lattice parameters (Å, degrees): 4.1723 4.1723 7.9123 105.29 105.29 90.00
Closest atoms and distances in Å follow each position.
Fractional coordinates of all 5 atoms:
Y 0.4056 0.4056 0.8113  1 Y 2.77, 4 Hf 3.09
Y 0.5944 0.5944 0.1887  1 Y 2.77, 4 Hf 3.09
Hf 0.7500 0.2500 0.5000  4 Hf 2.95, 4 Y 3.09
Hf 0.2500 0.7500 0.5000  4 Hf 2.95, 4 Y 3.09
Hg 0.0000 0.0000 0.0000  8 Y 3.26

***

Material: Hf2ZnHg3
Method: DFT, PBE-GGA
State: optimized geometry

## Properties
Space group: P4mm (99)
Raw total energy, eV per formula unit: -22.1
Size of the total moment, Bohr magnetons per cell: 0.013
ρ, Mg/m³: 14.07
Formation energy, eV/atom: -0.012

Lattice parameters (Å, degrees): 3.2023 3.2023 11.7844 90.00 90.00 90.00
Closest atoms and distances in Å follow each position.
Fractional coordinates of all 6 atoms:
Hg 0.0000 0.0000 0.6820  4 Zn 2.88, 4 Hf 3.05, 4 Hg 3.20
Hg 0.5000 0.5000 0.1554  4 Hf 3.05, 8 Hg 3.13-3.20
Hg 0.0000 0.0000 0.3394  4 Hf 3.01, 8 Hg 3.13-3.20
Hf 0.5000 0.5000 0.5082  8 Hg 3.01-3.05, 4 Hf 3.20
Hf 0.0000 0.0000 0.9818  4 Zn 2.86, 4 Hg 3.05, 4 Hf 3.20
Zn 0.5000 0.5000 0.8333  4 Hf 2.86, 4 Hg 2.88, 4 Zn 3.20

***

Material: Hf2Zn3Hg
Method: DFT, PBE-GGA
State: optimized geometry

## Properties
Space group: P4mm (99)
Raw total energy, eV per formula unit: -24.2
Size of the total moment, Bohr magnetons per cell: 0.011
ρ, Mg/m³: 11.86
Formation energy, eV/atom: -0.033

Lattice parameters (Å, degrees): 3.2215 3.2215 10.1656 90.00 90.00 90.00
Closest atoms and distances in Å follow each position.
Fractional coordinates of all 6 atoms:
Zn 0.5000 0.5000 0.3408  4 Hg 2.82, 4 Hf 2.83
Zn 0.0000 0.0000 0.8121  4 Zn 2.65, 4 Hf 2.87
Zn 0.5000 0.5000 0.6795  4 Zn 2.65, 4 Hf 2.88
Hf 0.5000 0.5000 0.9833  5 Zn 2.87-3.09, 4 Hg 3.02
Hf 0.0000 0.0000 0.5064  9 Zn 2.83-3.11
Hg 0.0000 0.0000 0.1778  4 Zn 2.82, 4 Hf 3.02

***

Material: Hf2ZnHg
Method: DFT, PBE-GGA
State: optimized geometry

## Properties
Space group: F-43m (216)
Raw total energy, eV per formula unit: -20.1
Size of the total moment, Bohr magnetons per cell: 1.954
ρ, Mg/m³: 12.53
Formation energy, eV/atom: 0.348

Lattice parameters (Å, degrees): 4.8873 4.8873 4.8873 60.00 60.00 60.00
Closest atoms and distances in Å follow each position.
Fractional coordinates of all 4 atoms:
Hf 0.0000 0.0000 0.0000  4 Hg 2.99, 4 Hf 2.99
Hf 0.7500 0.7500 0.7500  4 Zn 2.99, 4 Hf 2.99
Hg 0.2500 0.2500 0.2500  4 Hf 2.99, 4 Zn 2.99
Zn 0.5000 0.5000 0.5000  4 Hg 2.99, 4 Hf 2.99

***

Material: Hf2ZrHg
Method: DFT, PBE-GGA
State: optimized geometry

## Properties
Space group: P4mm (99)
Raw total energy, eV per formula unit: -29.2
Size of the total moment, Bohr magnetons per cell: 0.009
ρ, Mg/m³: 12.25
Formation energy, eV/atom: -0.105

Lattice parameters (Å, degrees): 3.1657 3.1657 8.7745 90.00 90.00 90.00
Closest atoms and distances in Å follow each position.
Fractional coordinates of all 4 atoms:
Hg 0.5000 0.5000 0.9784  4 Hf 3.13, 4 Zr 3.15, 4 Hg 3.17
Hf 0.0000 0.0000 0.7298  8 Hf 3.10-3.17, 4 Hg 3.13
Hf 0.5000 0.5000 0.4852  8 Hf 3.10-3.17, 4 Zr 3.16
Zr 0.0000 0.0000 0.2303  4 Hg 3.15, 4 Hf 3.16, 4 Zr 3.17

***

Material: Hf2ZrHg2
Method: DFT, PBE-GGA
State: optimized geometry

## Properties
Space group: I4/mmm (139)
Raw total energy, eV per formula unit: -27.9
Size of the total moment, Bohr magnetons per cell: 0.007
ρ, Mg/m³: 12.36
Formation energy, eV/atom: 0.227

Lattice parameters (Å, degrees): 7.2382 7.2382 7.2382 146.66 146.66 47.87
Closest atoms and distances in Å follow each position.
Fractional coordinates of all 5 atoms:
Zr 0.0000 0.0000 0.0000  8 Hg 3.22
Hg 0.4003 0.4003 0.0000  1 Hg 2.64, 4 Hf 2.87
Hg 0.5997 0.5997 0.0000  1 Hg 2.64, 4 Hf 2.87
Hf 0.2500 0.7500 0.5000  4 Hg 2.87, 4 Hf 2.94
Hf 0.7500 0.2500 0.5000  4 Hg 2.87, 4 Hf 2.94

***

Material: Hf2ZrHg
Method: DFT, PBE-GGA
State: optimized geometry

## Properties
Space group: F-43m (216)
Raw total energy, eV per formula unit: -28.3
Size of the total moment, Bohr magnetons per cell: 0.080
ρ, Mg/m³: 12.61
Formation energy, eV/atom: 0.108

Lattice parameters (Å, degrees): 4.9432 4.9432 4.9432 60.00 60.00 60.00
Closest atoms and distances in Å follow each position.
Fractional coordinates of all 4 atoms:
Hf 0.0000 0.0000 0.0000  4 Hg 3.03, 4 Hf 3.03
Hf 0.2500 0.2500 0.2500  4 Zr 3.03, 4 Hf 3.03
Zr 0.5000 0.5000 0.5000  4 Hg 3.03, 4 Hf 3.03
Hg 0.7500 0.7500 0.7500  4 Hf 3.03, 4 Zr 3.03

***

Material: Ho2HfIn3Ir2
Method: DFT, PBE-GGA
State: optimized geometry

## Properties
Space group: Amm2 (38)
Raw total energy, eV per formula unit: -50.0
Size of the total moment, Bohr magnetons per cell: 0.008
ρ, Mg/m³: 11.73

Lattice parameters (Å, degrees): 3.4591 7.6245 7.6245 119.46 90.00 90.00
Closest atoms and distances in Å follow each position.
Fractional coordinates of all 8 atoms:
In 0.0000 0.0050 0.2337  2 Ir 2.93-3.17, 2 In 3.01-3.11, 2 Ho 3.17
In 0.0000 0.2337 0.0050  2 Ir 2.93-3.17, 2 In 3.01-3.11, 2 Ho 3.17
In 0.0000 0.7658 0.7658  2 Ir 2.93, 2 In 3.11, 2 Hf 3.12, 4 Ho 3.27
Hf 0.5000 0.4277 0.4277  4 Ir 2.73
Ho 0.5000 0.9993 0.5795  4 Ir 2.93-2.94, 4 In 3.17-3.27
Ho 0.5000 0.5795 0.9993  4 Ir 2.93-2.94, 4 In 3.17-3.27
Ir 0.0000 0.3384 0.6505  2 Hf 2.73, 2 In 2.93, 4 Ho 2.93-2.94
Ir 0.0000 0.6505 0.3384  2 Hf 2.73, 2 In 2.93, 4 Ho 2.93-2.94

***

Material: HoHfZn2In
Method: DFT, PBE-GGA
State: optimized geometry

## Properties
Space group: Amm2 (38)
Raw total energy, eV per formula unit: -21.2
Size of the total moment, Bohr magnetons per cell: 0.015
ρ, Mg/m³: 9.66

Lattice parameters (Å, degrees): 3.2792 7.3888 7.3888 34.45 90.00 90.00
Closest atoms and distances in Å follow each position.
Fractional coordinates of all 5 atoms:
In 0.5000 0.0049 0.0049  2 Zn 2.74-3.00
Zn 0.5000 0.7921 0.7921  2 Zn 2.55
Zn 0.5000 0.1988 0.1988  2 Zn 2.55, 1 In 2.74
Ho 0.0000 0.3794 0.3794  6 Zn 3.00-3.03, 4 In 3.26, 2 Ho 3.28
Hf 0.0000 0.6248 0.6248  6 Zn 2.88-2.93, 4 In 3.22